(1)
This record from Alexandria describes crystalline DySc3Co at its relaxed geometry. The functional is PBE-GGA.

The volume comes out at 120 Å³/cell. The calculation puts the formation energy at -0.09 eV/atom. The calculation puts the density of states at the Fermi level at 1.199 states/eV/atom.

The space group is Pm-3m (No. 221) and the conventional cell measures 4.931, 4.931 and 4.931 Å, with angles of 90.00, 90.00 and 90.00 degrees. The distinct sites, in fractional coordinates, are Dy at (0.000, 0.000, 0.000), Sc at (0.000, 0.500, 0.500) and Co at (0.500, 0.500, 0.500).

(2)
This record from Alexandria describes crystalline IrSe2S at its relaxed geometry. The functional is PBE-GGA.

The volume comes out at 149 Å³/cell. As for the uncorrected formation energy: -0.028 eV per atom. The calculation puts the density of states at the Fermi level at 0.517 states/eV/atom.

The space group is Amm2 (No. 38) and the conventional cell measures 3.613, 5.041 and 8.187 Å, with angles of 90.00, 90.00 and 90.00 degrees. The distinct sites, in fractional coordinates, are Ir at (0.000, 0.000, 0.000), Se at (0.000, 0.000, 0.495), Se at (0.500, 0.000, 0.790) and S at (0.500, 0.000, 0.191).

(3)
This record from Alexandria describes crystalline Cs2KAgBi at its relaxed geometry. The functional is PBE-GGA.

The volume comes out at 278 Å³/cell. The calculation puts the formation energy at -0.07 eV/atom. The calculation puts the density of states at the Fermi level at 0.418 states/eV/atom.

The space group is P4/mmm (No. 123) and the conventional cell measures 7.061, 7.061 and 5.571 Å, with angles of 90.00, 90.00 and 90.00 degrees. The distinct sites, in fractional coordinates, are Cs at (0.000, 0.500, 0.000), K at (0.000, 0.000, 0.500), Ag at (0.500, 0.500, 0.000) and Bi at (0.500, 0.500, 0.500).